(1)
VASP calculation (PBE) on crystalline Np2HgS6 at its relaxed geometry.

a = 6.374 Å, b = 6.374 Å, c = 11.490 Å
α = 90.00°, β = 90.00°, γ = 90.00°
Sites, in units of the cell vectors:
Np 0.000 0.000 0.173
Np 0.000 0.000 0.827
Np 0.500 0.500 0.327
Np 0.500 0.500 0.673
Hg 0.000 0.000 0.500
Hg 0.500 0.500 0.000
S 0.182 0.182 0.000
S 0.209 0.209 0.330
S 0.209 0.209 0.670
S 0.291 0.709 0.170
S 0.291 0.709 0.830
S 0.318 0.682 0.500
S 0.682 0.318 0.500
S 0.709 0.291 0.170
S 0.709 0.291 0.830
S 0.791 0.791 0.330
S 0.791 0.791 0.670
S 0.818 0.818 0.000

Total energy in eV per atom: -6.371
Space group: P4_2/mnm
ΔE_f (raw) in meV per atom: -710

(2)
VASP calculation (PBE) on crystalline NpHgS2 at its relaxed geometry.

a = 10.493 Å, b = 10.493 Å, c = 10.493 Å
α = 21.96°, β = 21.96°, γ = 21.96°
Sites, in units of the cell vectors:
Np 0.000 0.000 0.000
Hg 0.500 0.500 0.500
S 0.377 0.377 0.377
S 0.623 0.623 0.623

Offset from the most stable computed form in eV per atom: 0.0025
Total energy in eV per atom: -6.286
Space group: R-3m
ΔE_f (raw) in meV per atom: -912

(3)
VASP calculation (PBE) on crystalline NpHgS2 at its relaxed geometry.

a = 4.016 Å, b = 4.016 Å, c = 9.095 Å
α = 90.64°, β = 90.64°, γ = 60.01°
Sites, in units of the cell vectors:
Np 0.000 0.000 0.000
Hg 0.000 0.000 0.500
S 0.331 0.331 0.853
S 0.669 0.669 0.147

Offset from the most stable computed form in eV per atom: 0.0000
Total energy in eV per atom: -6.289
Space group: C2/m
ΔE_f (raw) in meV per atom: -914

(4)
VASP calculation (PBE) on crystalline NpHgS3 at its relaxed geometry.

a = 6.831 Å, b = 4.103 Å, c = 10.560 Å
α = 90.00°, β = 97.46°, γ = 90.00°
Sites, in units of the cell vectors:
Np 0.051 0.250 0.166
Np 0.949 0.750 0.834
Hg 0.453 0.250 0.666
Hg 0.547 0.750 0.334
S 0.112 0.250 0.725
S 0.209 0.750 0.048
S 0.344 0.250 0.365
S 0.656 0.750 0.635
S 0.791 0.250 0.952
S 0.888 0.750 0.275

Total energy in eV per atom: -5.878
Space group: P2_1/m
ΔE_f (raw) in meV per atom: -753

(5)
VASP calculation (PBE) on crystalline Np6HgS12 at its relaxed geometry.

a = 8.005 Å, b = 8.005 Å, c = 8.005 Å
α = 104.46°, β = 104.46°, γ = 104.46°
Sites, in units of the cell vectors:
Np 0.246 0.246 0.657
Np 0.246 0.657 0.246
Np 0.343 0.754 0.754
Np 0.657 0.246 0.246
Np 0.754 0.343 0.754
Np 0.754 0.754 0.343
Hg 0.000 0.000 0.000
S 0.131 0.500 0.869
S 0.131 0.869 0.500
S 0.188 0.449 0.449
S 0.449 0.188 0.449
S 0.449 0.449 0.188
S 0.500 0.131 0.869
S 0.500 0.869 0.131
S 0.551 0.551 0.812
S 0.551 0.812 0.551
S 0.812 0.551 0.551
S 0.869 0.131 0.500
S 0.869 0.500 0.131

Total energy in eV per atom: -7.826
Space group: R-3m
ΔE_f (raw) in meV per atom: -1117

(6)
VASP calculation (PBE) on crystalline NpHgS2 at its relaxed geometry.

a = 9.554 Å, b = 9.554 Å, c = 9.554 Å
α = 24.22°, β = 24.22°, γ = 24.22°
Sites, in units of the cell vectors:
Np 0.000 0.000 0.000
Hg 0.836 0.836 0.836
S 0.382 0.382 0.382
S 0.619 0.619 0.619

Offset from the most stable computed form in eV per atom: 0.0003
Total energy in eV per atom: -6.288
Space group: R3m
ΔE_f (raw) in meV per atom: -914

(7)
VASP calculation (PBE) on crystalline Np2Tl3HgS6 at its relaxed geometry.

a = 7.137 Å, b = 7.137 Å, c = 7.723 Å
α = 97.34°, β = 97.34°, γ = 122.14°
Sites, in units of the cell vectors:
Np 0.169 0.831 0.000
Np 0.831 0.169 0.000
Tl 0.000 0.000 0.500
Tl 0.344 0.656 0.500
Tl 0.656 0.344 0.500
Hg 0.500 0.500 0.000
S 0.058 0.435 0.786
S 0.232 0.232 0.174
S 0.435 0.058 0.786
S 0.565 0.942 0.214
S 0.768 0.768 0.826
S 0.942 0.565 0.214

Total energy in eV per atom: -5.604
Space group: C2/m
ΔE_f (raw) in meV per atom: -767

(8)
VASP calculation (PBE) on crystalline Np6HgSe12 at its relaxed geometry.

a = 8.420 Å, b = 8.420 Å, c = 8.420 Å
α = 104.60°, β = 104.60°, γ = 104.60°
Sites, in units of the cell vectors:
Np 0.249 0.249 0.660
Np 0.249 0.660 0.249
Np 0.340 0.751 0.751
Np 0.660 0.249 0.249
Np 0.751 0.340 0.751
Np 0.751 0.751 0.340
Hg 0.000 0.000 0.000
Se 0.130 0.500 0.870
Se 0.130 0.870 0.500
Se 0.185 0.445 0.445
Se 0.445 0.185 0.445
Se 0.445 0.445 0.185
Se 0.500 0.130 0.870
Se 0.500 0.870 0.130
Se 0.555 0.555 0.815
Se 0.555 0.815 0.555
Se 0.815 0.555 0.555
Se 0.870 0.130 0.500
Se 0.870 0.500 0.130

Total energy in eV per atom: -7.211
Space group: R-3m
ΔE_f (raw) in meV per atom: -908

no.,magnetization (μB/f.u.)
1,4.00
2,3.00
3,3.00
4,3.00
5,18.00
6,3.00
7,6.97
8,17.96